Entry 1:
VASP calculation (PBE-GGA) on an optimized crystal structure of HfZn9Ni3.

CIF file:
```
data_HfZn9Ni3
_space_group_name_H-M_alt 'P 1'
_space_group_IT_number 1
_cell_length_a 4.977
_cell_length_b 6.600
_cell_length_c 6.538
_cell_angle_alpha 81.48
_cell_angle_beta 67.63
_cell_angle_gamma 67.09
loop_
_space_group_symop_operation_xyz
'x,y,z'
loop_
_atom_site_label
_atom_site_type_symbol
_atom_site_fract_x
_atom_site_fract_y
_atom_site_fract_z
Ni1 Ni 0.500 0.000 0.500
Zn1 Zn 0.290 0.210 0.217
Zn2 Zn 0.355 0.665 0.652
Zn3 Zn 0.710 0.790 0.783
Zn4 Zn 0.007 0.665 0.348
Zn5 Zn 0.493 0.790 0.217
Zn6 Zn 0.993 0.335 0.652
Zn7 Zn 0.000 0.500 0.000
Zn8 Zn 0.645 0.335 0.348
Ni2 Ni 0.500 0.500 0.000
Hf1 Hf 0.000 0.000 0.000
Zn9 Zn 0.507 0.210 0.783
Ni3 Ni 0.000 0.000 0.500
```

Summary:
E_form: -4.61 kcal/mol of atoms
Raw total energy: -41.360 eV for the cell shown

Entry 2:
VASP calculation (PBE-GGA) on an optimized crystal structure of Ba2S2Br.

CIF file:
```
data_Ba2S2Br
_space_group_name_H-M_alt 'P 1'
_space_group_IT_number 1
_cell_length_a 5.870
_cell_length_b 5.870
_cell_length_c 6.467
_cell_angle_alpha 63.01
_cell_angle_beta 63.01
_cell_angle_gamma 90.00
loop_
_space_group_symop_operation_xyz
'x,y,z'
loop_
_atom_site_label
_atom_site_type_symbol
_atom_site_fract_x
_atom_site_fract_y
_atom_site_fract_z
Br1 Br 0.000 0.000 0.000
S1 S 0.639 0.639 0.721
Ba1 Ba 0.250 0.750 0.500
Ba2 Ba 0.750 0.250 0.500
S2 S 0.361 0.361 0.279
```

Summary:
Energy above the lowest structure with this stoichiometry: 0.0933 eV per atom
Raw total energy: -21.647 eV for the cell shown
Formation energy from raw total energies: -1.575 eV per atom

Entry 3:
VASP calculation (PBE-GGA) on an optimized crystal structure of Nd6AsCl8.

CIF file:
```
data_Nd6AsCl8
_space_group_name_H-M_alt 'P 1'
_space_group_IT_number 1
_cell_length_a 7.124
_cell_length_b 7.124
_cell_length_c 10.942
_cell_angle_alpha 71.00
_cell_angle_beta 71.00
_cell_angle_gamma 60.00
loop_
_space_group_symop_operation_xyz
'x,y,z'
loop_
_atom_site_label
_atom_site_type_symbol
_atom_site_fract_x
_atom_site_fract_y
_atom_site_fract_z
Cl1 Cl 0.564 0.893 0.321
Cl2 Cl 0.333 0.333 0.000
Nd1 Nd 0.720 0.052 0.844
Nd2 Nd 0.948 0.616 0.156
Cl3 Cl 0.436 0.107 0.679
Cl4 Cl 0.107 0.778 0.679
Nd3 Nd 0.052 0.384 0.844
Nd4 Nd 0.384 0.720 0.844
Nd5 Nd 0.280 0.948 0.156
Cl5 Cl 0.222 0.564 0.321
Nd6 Nd 0.616 0.280 0.156
Cl6 Cl 0.893 0.222 0.321
Cl7 Cl 0.778 0.436 0.679
As1 As 0.000 0.000 0.000
Cl8 Cl 0.667 0.667 0.000
```

Summary:
Raw total energy: -74.792 eV for the cell shown
Formation energy from raw total energies: -1.784 eV per atom

Entry 4:
VASP calculation (PBE-GGA) on an optimized crystal structure of HgSbP.

CIF file:
```
data_HgSbP
_space_group_name_H-M_alt 'P 1'
_space_group_IT_number 1
_cell_length_a 3.727
_cell_length_b 3.727
_cell_length_c 7.890
_cell_angle_alpha 90.00
_cell_angle_beta 90.00
_cell_angle_gamma 120.00
loop_
_space_group_symop_operation_xyz
'x,y,z'
loop_
_atom_site_label
_atom_site_type_symbol
_atom_site_fract_x
_atom_site_fract_y
_atom_site_fract_z
P1 P 0.333 0.667 0.401
Hg1 Hg 0.000 0.000 0.016
Sb1 Sb 0.667 0.333 0.584
```

Summary:
Energy above the lowest structure with this stoichiometry: 0.0000 eV per atom
Raw total energy: -9.517 eV for the cell shown
Formation energy from raw total energies: 0.106 eV per atom

Entry 5:
VASP calculation (PBE-GGA) on an optimized crystal structure of As2PtSeF.

CIF file:
```
data_As2PtSeF
_space_group_name_H-M_alt 'P 1'
_space_group_IT_number 1
_cell_length_a 4.854
_cell_length_b 4.854
_cell_length_c 5.165
_cell_angle_alpha 90.00
_cell_angle_beta 90.00
_cell_angle_gamma 90.00
loop_
_space_group_symop_operation_xyz
'x,y,z'
loop_
_atom_site_label
_atom_site_type_symbol
_atom_site_fract_x
_atom_site_fract_y
_atom_site_fract_z
Pt1 Pt 0.000 0.000 0.000
Se1 Se 0.000 0.000 0.500
As1 As 0.000 0.500 0.000
F1 F 0.500 0.500 0.500
As2 As 0.500 0.000 0.000
```

Summary:
Energy above the lowest structure with this stoichiometry: 0.0000 eV per atom
Raw total energy: -18.627 eV for the cell shown
Formation energy from raw total energies: 0.414 eV per atom

Entry 6:
VASP calculation (PBE-GGA) on an optimized crystal structure of Ca5Tl2Ga2.

CIF file:
```
data_Ca5Tl2Ga2
_space_group_name_H-M_alt 'P 1'
_space_group_IT_number 1
_cell_length_a 8.271
_cell_length_b 7.579
_cell_length_c 9.530
_cell_angle_alpha 90.00
_cell_angle_beta 64.28
_cell_angle_gamma 90.00
loop_
_space_group_symop_operation_xyz
'x,y,z'
loop_
_atom_site_label
_atom_site_type_symbol
_atom_site_fract_x
_atom_site_fract_y
_atom_site_fract_z
Ca1 Ca 0.500 0.500 0.000
Ca2 Ca 0.444 0.182 0.737
Ca3 Ca 0.319 0.682 0.737
Tl1 Tl 0.220 0.000 0.559
Tl2 Tl 0.780 0.000 0.441
Tl3 Tl 0.280 0.500 0.441
Ca4 Ca 0.681 0.318 0.263
Ca5 Ca 0.181 0.182 0.263
Ga1 Ga 0.622 0.095 0.000
Ga2 Ga 0.878 0.595 0.000
Ca6 Ca 0.944 0.318 0.737
Ga3 Ga 0.378 0.905 0.000
Ca7 Ca 0.556 0.818 0.263
Tl4 Tl 0.720 0.500 0.559
Ca8 Ca 0.056 0.682 0.263
Ca9 Ca 0.000 0.000 0.000
Ga4 Ga 0.122 0.405 0.000
Ca10 Ca 0.819 0.818 0.737
```

Summary:
E_form: -8.38 kcal/mol of atoms
Raw total energy: -48.126 eV for the cell shown

Entry 7:
VASP calculation (PBE-GGA) on an optimized crystal structure of Dy3Cd2Co2.

CIF file:
```
data_Dy3Cd2Co2
_space_group_name_H-M_alt 'P 1'
_space_group_IT_number 1
_cell_length_a 3.808
_cell_length_b 3.835
_cell_length_c 10.863
_cell_angle_alpha 90.00
_cell_angle_beta 79.91
_cell_angle_gamma 90.00
loop_
_space_group_symop_operation_xyz
'x,y,z'
loop_
_atom_site_label
_atom_site_type_symbol
_atom_site_fract_x
_atom_site_fract_y
_atom_site_fract_z
Dy1 Dy 0.176 0.000 0.648
Dy2 Dy 0.824 0.000 0.352
Cd1 Cd 0.588 0.500 0.825
Dy3 Dy 0.000 0.000 0.000
Cd2 Cd 0.412 0.500 0.175
Co1 Co 0.277 0.500 0.447
Co2 Co 0.723 0.500 0.553
```

Summary:
E_form: -6.37 kcal/mol of atoms
Raw total energy: -31.783 eV for the cell shown

Entry 8:
VASP calculation (PBE-GGA) on an optimized crystal structure of Pu4AsPS2.

CIF file:
```
data_Pu4AsPS2
_space_group_name_H-M_alt 'P 1'
_space_group_IT_number 1
_cell_length_a 4.041
_cell_length_b 6.949
_cell_length_c 7.006
_cell_angle_alpha 70.40
_cell_angle_beta 90.00
_cell_angle_gamma 90.00
loop_
_space_group_symop_operation_xyz
'x,y,z'
loop_
_atom_site_label
_atom_site_type_symbol
_atom_site_fract_x
_atom_site_fract_y
_atom_site_fract_z
S1 S 0.500 0.000 0.500
S2 S 0.000 0.000 0.000
P1 P 0.000 0.500 0.500
As1 As 0.500 0.500 0.000
Pu1 Pu 0.500 0.752 0.254
Pu2 Pu 0.000 0.244 0.257
Pu3 Pu 0.500 0.248 0.746
Pu4 Pu 0.000 0.756 0.743
```

Summary:
Raw total energy: -87.125 eV for the cell shown
Formation energy from raw total energies: -1.435 eV per atom

Entry 9:
VASP calculation (PBE-GGA) on an optimized crystal structure of NaMgTl2Rh.

CIF file:
```
data_NaMgTl2Rh
_space_group_name_H-M_alt 'P 1'
_space_group_IT_number 1
_cell_length_a 5.281
_cell_length_b 5.281
_cell_length_c 5.032
_cell_angle_alpha 90.00
_cell_angle_beta 90.00
_cell_angle_gamma 90.00
loop_
_space_group_symop_operation_xyz
'x,y,z'
loop_
_atom_site_label
_atom_site_type_symbol
_atom_site_fract_x
_atom_site_fract_y
_atom_site_fract_z
Rh1 Rh 0.000 0.000 0.000
Tl1 Tl 0.000 0.500 0.000
Tl2 Tl 0.500 0.000 0.000
Na1 Na 0.500 0.500 0.500
Mg1 Mg 0.000 0.000 0.500
```

Summary:
E_form: -1.94 kcal/mol of atoms
Raw total energy: -15.419 eV for the cell shown

Entry 10:
VASP calculation (PBE-GGA) on an optimized crystal structure of Dy5Si2Bi2.

CIF file:
```
data_Dy5Si2Bi2
_space_group_name_H-M_alt 'P 1'
_space_group_IT_number 1
_cell_length_a 7.939
_cell_length_b 7.922
_cell_length_c 8.650
_cell_angle_alpha 117.25
_cell_angle_beta 90.00
_cell_angle_gamma 90.00
loop_
_space_group_symop_operation_xyz
'x,y,z'
loop_
_atom_site_label
_atom_site_type_symbol
_atom_site_fract_x
_atom_site_fract_y
_atom_site_fract_z
Dy1 Dy 0.665 0.043 0.756
Dy2 Dy 0.335 0.957 0.244
Dy3 Dy 0.335 0.713 0.756
Bi1 Bi 0.000 0.207 0.415
Dy4 Dy 0.835 0.543 0.756
Dy5 Dy 0.165 0.457 0.244
Dy6 Dy 0.665 0.287 0.244
Dy7 Dy 0.500 0.500 0.000
Bi2 Bi 0.500 0.293 0.585
Si1 Si 0.634 0.865 0.000
Si2 Si 0.366 0.135 0.000
Si3 Si 0.866 0.365 0.000
Dy8 Dy 0.000 0.000 0.000
Bi3 Bi 0.500 0.707 0.415
Si4 Si 0.134 0.635 0.000
Dy9 Dy 0.165 0.213 0.756
Dy10 Dy 0.835 0.787 0.244
Bi4 Bi 0.000 0.793 0.585
```

Summary:
Raw total energy: -97.635 eV for the cell shown
Formation energy from raw total energies: -0.800 eV per atom

Entry 11:
VASP calculation (PBE-GGA) on an optimized crystal structure of SrLiV.

CIF file:
```
data_SrLiV
_space_group_name_H-M_alt 'P 1'
_space_group_IT_number 1
_cell_length_a 7.471
_cell_length_b 5.088
_cell_length_c 4.404
_cell_angle_alpha 90.00
_cell_angle_beta 88.61
_cell_angle_gamma 90.00
loop_
_space_group_symop_operation_xyz
'x,y,z'
loop_
_atom_site_label
_atom_site_type_symbol
_atom_site_fract_x
_atom_site_fract_y
_atom_site_fract_z
Sr1 Sr 0.992 0.500 0.233
Li1 Li 0.489 0.500 0.242
Sr2 Sr 0.330 0.000 0.725
V1 V 0.793 0.000 0.777
Li2 Li 0.661 0.500 0.754
V2 V 0.699 0.000 0.172
```

Summary:
Energy above the lowest structure with this stoichiometry: 0.0182 eV per atom
E_form: 10.85 kcal/mol of atoms
Raw total energy: -22.606 eV for the cell shown

Entry 12:
VASP calculation (PBE-GGA) on an optimized crystal structure of NaSr2Sb2.

CIF file:
```
data_NaSr2Sb2
_space_group_name_H-M_alt 'P 1'
_space_group_IT_number 1
_cell_length_a 4.645
_cell_length_b 4.645
_cell_length_c 9.944
_cell_angle_alpha 76.49
_cell_angle_beta 76.49
_cell_angle_gamma 90.00
loop_
_space_group_symop_operation_xyz
'x,y,z'
loop_
_atom_site_label
_atom_site_type_symbol
_atom_site_fract_x
_atom_site_fract_y
_atom_site_fract_z
Na1 Na 0.000 0.000 0.000
Sr1 Sr 0.379 0.379 0.243
Sb1 Sb 0.250 0.750 0.500
Sb2 Sb 0.750 0.250 0.500
Sr2 Sr 0.621 0.621 0.757
```

Summary:
Energy above the lowest structure with this stoichiometry: 0.4151 eV per atom
Raw total energy: -14.719 eV for the cell shown
Formation energy from raw total energies: -0.358 eV per atom